First-principles (PBE-GGA) data for a relaxed structure of Dy2Y2CI2Br3, as listed in OQMD.

* total energy: -5.246 eV/atom
* relative energy among the computed polymorphs: 0.0011 eV per atom
* total magnetic moment: 0.1 μB per formula unit
* crystal system: monoclinic
* mass density: 5.795 g cm⁻³

Cell: 18.6287 3.8741 8.2012 Å, 90.00 102.46 90.00°
Space group C2/m (No. 12)
Inequivalent atoms, fractional coordinates:
Dy (0.1321, 0.0000, 0.0707) (multiplicity 4)
Y (0.9995, 0.5000, 0.2003) (multiplicity 4)
C (0.0000, 0.0000, 0.0000) (multiplicity 2)
I (0.1703, 0.5000, 0.8113) (multiplicity 4)
Br (0.0000, 0.0000, 0.5000) (multiplicity 2)
Br (0.1577, 0.5000, 0.3349) (multiplicity 4)